VASP calculation (PBE) on CoReTcSb after structural relaxation.

Values from the calculation:
Its energy relative to the lowest polymorph listed for this composition is 0.0000 eV/atom. The calculation puts the total magnetization at 2.2 Bohr magnetons per cell. The space-group type is F-43m (216). The total energy is -32.3 eV per cell. The value obtained for the density is 12.7 g/cm3.

Cell: 4.414 4.414 4.414 Å, 60.00 60.00 60.00°
Each line ends with the local moment (μB).
Fractional coordinates of all 4 atoms:
Re 0.500 0.500 0.500  0.53
Sb 0.000 0.000 0.000  0.03
Tc 0.250 0.250 0.250  0.22
Co 0.750 0.750 0.750  1.39



VASP calculation (PBE) on SrTaNO2 after structural relaxation.

Values from the calculation:
The calculation puts the total magnetization at 0.0 Bohr magnetons per cell. The space-group type is P2_1 (4). The total energy is -175.1 eV per cell. The value obtained for the density is 8.0 g/cm3.

Cell: 5.657 5.660 8.162 Å, 90.00 90.00 90.61°
Fractional coordinates of all 20 atoms:
N 0.711 0.212 0.999
O 0.706 0.791 0.500
Ta 0.508 0.490 0.993
O 0.794 0.709 0.000
Ta 0.992 0.010 0.493
O 0.487 0.514 0.249
Sr 0.005 0.504 0.250
Sr 0.495 0.996 0.750
Ta 0.993 0.006 0.010
O 0.293 0.205 0.499
N 0.494 0.506 0.750
O 0.207 0.295 0.999
O 0.205 0.703 0.499
Sr 0.005 0.507 0.751
O 0.295 0.797 0.998
N 0.006 0.994 0.250
N 0.789 0.289 0.499
Sr 0.495 0.993 0.251
O 0.012 0.987 0.749
Ta 0.507 0.494 0.510



VASP calculation (PBE) on CuHgIrW after structural relaxation.

Values from the calculation:
Its energy relative to the lowest polymorph listed for this composition is 0.0000 eV/atom. The calculation puts the total magnetization at 0.0 Bohr magnetons per cell. Its energy relative to the elements is 0.429 eV/atom. The space-group type is F-43m (216). The total energy is -24.1 eV per cell. The value obtained for the density is 16.9 g/cm3.

Cell: 4.467 4.467 4.467 Å, 60.00 60.00 60.00°
Fractional coordinates of all 4 atoms:
W 0.500 0.500 0.500
Hg 0.000 0.000 0.000
Cu 0.750 0.750 0.750
Ir 0.250 0.250 0.250



VASP calculation (PBE) on Sr2FeSe3 after structural relaxation.

Values from the calculation:
The calculation puts the total magnetization at 16.0 Bohr magnetons per cell. The space-group type is Pnma (62). The total energy is -121.2 eV per cell. The value obtained for the density is 4.8 g/cm3.

Cell: 12.024 4.272 12.497 Å, 90.00 90.00 90.00°
Each line ends with the local moment (μB).
Fractional coordinates of all 24 atoms:
Fe 0.245 0.750 0.795  3.18
Sr 0.679 0.250 0.488  0.01
Fe 0.745 0.750 0.705  3.18
Se 0.776 0.250 0.802  0.13
Se 0.944 0.250 0.137  0.10
Sr 0.509 0.250 0.820  0.01
Fe 0.255 0.250 0.295  3.18
Sr 0.991 0.750 0.320  0.01
Se 0.127 0.250 0.444  0.11
Se 0.276 0.250 0.698  0.13
Se 0.873 0.750 0.556  0.11
Sr 0.491 0.750 0.180  0.01
Fe 0.755 0.250 0.205  3.18
Se 0.224 0.750 0.198  0.13
Sr 0.179 0.250 0.012  0.01
Se 0.444 0.250 0.363  0.10
Se 0.724 0.750 0.302  0.13
Se 0.556 0.750 0.637  0.10
Sr 0.821 0.750 0.988  0.01
Se 0.373 0.750 0.944  0.11
Se 0.627 0.250 0.056  0.11
Sr 0.321 0.750 0.512  0.01
Se 0.056 0.750 0.863  0.10
Sr 0.009 0.250 0.680  0.01



VASP calculation (PBE) on GdAlAg2O4 after structural relaxation.

Values from the calculation:
The calculation puts the total magnetization at 0.0 Bohr magnetons per cell. The space-group type is P-3m1 (164). The total energy is -48.9 eV per cell. The value obtained for the density is 6.9 g/cm3.

Cell: 3.205 3.205 12.578 Å, 90.00 90.00 120.00°
Fractional coordinates of all 8 atoms:
Ag 0.667 0.333 0.736
Gd 0.000 0.000 0.000
O 0.333 0.667 0.431
O 0.333 0.667 0.099
O 0.667 0.333 0.901
Al 0.000 0.000 0.500
Ag 0.333 0.667 0.264
O 0.667 0.333 0.569



VASP calculation (PBE) on BaZrCuAu after structural relaxation.

Values from the calculation:
Its energy relative to the lowest polymorph listed for this composition is 0.0734 eV/atom. The calculation puts the total magnetization at 0.0 Bohr magnetons per cell. The space-group type is F-43m (216). The total energy is -16.5 eV per cell. The value obtained for the density is 9.5 g/cm3.

Cell: 4.951 4.951 4.951 Å, 60.00 60.00 60.00°
Fractional coordinates of all 4 atoms:
Cu 0.500 0.500 0.500
Zr 0.000 0.000 0.000
Au 0.750 0.750 0.750
Ba 0.250 0.250 0.250



VASP calculation (PBE) on SmHoZn after structural relaxation.

Values from the calculation:
Its energy relative to the lowest polymorph listed for this composition is 0.0000 eV/atom. The calculation puts the total magnetization at 0.0 Bohr magnetons per cell. Its energy relative to the elements is -0.075 eV/atom. The space-group type is P6_3/mmc (194). The total energy is -43.1 eV per cell. The value obtained for the density is 7.9 g/cm3.

Cell: 5.080 5.080 14.314 Å, 90.00 90.00 120.00°
Fractional coordinates of all 12 atoms:
Zn 0.667 0.333 0.877
Zn 0.333 0.667 0.377
Sm 0.000 0.000 0.000
Ho 0.333 0.667 0.881
Zn 0.333 0.667 0.123
Sm 0.000 0.000 0.500
Zn 0.667 0.333 0.623
Sm 0.000 0.000 0.250
Ho 0.333 0.667 0.619
Ho 0.667 0.333 0.381
Sm 0.000 0.000 0.750
Ho 0.667 0.333 0.119



VASP calculation (PBE) on SrLiCoW after structural relaxation.

Values from the calculation:
Its energy relative to the lowest polymorph listed for this composition is 0.0158 eV/atom. The calculation puts the total magnetization at 0.0 Bohr magnetons per cell. The space-group type is F-43m (216). The total energy is -19.6 eV per cell. The value obtained for the density is 8.3 g/cm3.

Cell: 4.569 4.569 4.569 Å, 60.00 60.00 60.00°
Fractional coordinates of all 4 atoms:
Co 0.000 0.000 0.000
Sr 0.500 0.500 0.500
W 0.250 0.250 0.250
Li 0.750 0.750 0.750